No. 1
Mn3Rh2 | GGA-PBE | optimized geometry

ΔE_f: 0.211 eV/atom
volume: 16.09 A^3/atom
total moment: 2.385 μB per atom

a b c (Å): 4.2305 4.2305 5.1913
angles (deg): 90.00 90.00 120.00
Last column: nearest neighbours and their distance in Å.
Fractional coordinates of all 5 atoms:
1 Rh 0.3333 0.6667 0.8448  8 Mn 2.54-2.65
2 Mn 0.6667 0.3333 0.6447  5 Rh 2.54-2.65
3 Rh 0.6667 0.3333 0.1552  8 Mn 2.54-2.65
4 Mn 0.0000 0.0000 0.0000  6 Rh 2.57
5 Mn 0.3333 0.6667 0.3553  5 Rh 2.54-2.65


No. 2
SbIr2Br | GGA-PBE | optimized geometry

volume: 18.89 A^3/atom
total moment: 0.000 μB per atom
ΔE_f (raw): 529 meV/atom

a b c (Å): 8.2791 8.2791 8.2791
angles (deg): 22.93 22.93 22.93
Last column: nearest neighbours and their distance in Å.
Fractional coordinates of all 4 atoms:
1 Sb 0.2500 0.2500 0.2500  6 Ir 2.65
2 Ir 0.9932 0.9932 0.9932  3 Sb 2.65, 3 Br 2.89
3 Ir 0.5068 0.5068 0.5068  3 Sb 2.65, 3 Br 2.89
4 Br 0.7500 0.7500 0.7500  6 Ir 2.89


One value per record, in order, for energy: -41.2, -21.4 eV per cell.
One value per record, in order, for excess energy over the best structure of this formula in the dataset: 121, 183 meV/atom.
One value per record, in order, for DOS at the Fermi energy: 6.6, 4.2 states/eV per cell.